Record 1
# TlTc2Ir PBEsol optimized geometry
# - SG: P4/mmm, No. 123
# - E above lowest polymorph: 110 meV per atom
# - Volume: 15.739 A^3/atom
data_TlTc2Ir
_chemical_formula_sum 'Tl1 Tc2 Ir1'
_cell_length_a 2.859
_cell_length_b 4.693
_cell_length_c 4.693
_cell_angle_alpha 90.00
_cell_angle_beta 90.00
_cell_angle_gamma 90.00
_symmetry_space_group_name_H-M 'P 1'
_symmetry_Int_Tables_number 1
loop_
_symmetry_equiv_pos_as_xyz
'x,y,z'
loop_
_atom_site_label
_atom_site_type_symbol
_atom_site_fract_x
_atom_site_fract_y
_atom_site_fract_z
Ir1 Ir 0.500 0.000 0.000
Tc1 Tc 0.000 0.500 0.000
Tc2 Tc 0.000 0.000 0.500
Tl1 Tl 0.500 0.500 0.500



Record 2
# TlTc2Ir PBEsol optimized geometry
# - SG: Fm-3m, No. 225
# - E above lowest polymorph: 102 meV per atom
# - Volume: 15.725 A^3/atom
data_TlTc2Ir
_chemical_formula_sum 'Tl1 Tc2 Ir1'
_cell_length_a 4.464
_cell_length_b 4.464
_cell_length_c 4.464
_cell_angle_alpha 60.00
_cell_angle_beta 60.00
_cell_angle_gamma 60.00
_symmetry_space_group_name_H-M 'P 1'
_symmetry_Int_Tables_number 1
loop_
_symmetry_equiv_pos_as_xyz
'x,y,z'
loop_
_atom_site_label
_atom_site_type_symbol
_atom_site_fract_x
_atom_site_fract_y
_atom_site_fract_z
Ir1 Ir 0.000 0.000 0.000
Tl1 Tl 0.500 0.500 0.500
Tc1 Tc 0.250 0.250 0.250
Tc2 Tc 0.750 0.750 0.750



Record 3
# TlTc2Ir PBEsol optimized geometry
# - SG: Cmmm, No. 65
# - E above lowest polymorph: 0 meV per atom
# - Volume: 15.638 A^3/atom
data_TlTc2Ir
_chemical_formula_sum 'Tl1 Tc2 Ir1'
_cell_length_a 2.828
_cell_length_b 4.964
_cell_length_c 4.964
_cell_angle_alpha 116.15
_cell_angle_beta 90.00
_cell_angle_gamma 90.00
_symmetry_space_group_name_H-M 'P 1'
_symmetry_Int_Tables_number 1
loop_
_symmetry_equiv_pos_as_xyz
'x,y,z'
loop_
_atom_site_label
_atom_site_type_symbol
_atom_site_fract_x
_atom_site_fract_y
_atom_site_fract_z
Tc1 Tc 0.000 0.000 0.500
Tc2 Tc 0.000 0.500 0.000
Ir1 Ir 0.500 0.500 0.500
Tl1 Tl 0.500 0.000 0.000



Record 4
# Tl2TcIr PBEsol optimized geometry
# - SG: Immm, No. 71
# - E above lowest polymorph: 0 meV per atom
# - Volume: 18.194 A^3/atom
data_Tl2TcIr
_chemical_formula_sum 'Tl2 Tc1 Ir1'
_cell_length_a 3.044
_cell_length_b 5.188
_cell_length_c 5.503
_cell_angle_alpha 118.12
_cell_angle_beta 106.05
_cell_angle_gamma 90.00
_symmetry_space_group_name_H-M 'P 1'
_symmetry_Int_Tables_number 1
loop_
_symmetry_equiv_pos_as_xyz
'x,y,z'
loop_
_atom_site_label
_atom_site_type_symbol
_atom_site_fract_x
_atom_site_fract_y
_atom_site_fract_z
Tc1 Tc 0.000 0.500 0.000
Ir1 Ir 0.500 0.000 0.000
Tl1 Tl 0.753 0.753 0.506
Tl2 Tl 0.247 0.247 0.494



Record 5
# TlTcIr2 PBEsol optimized geometry
# - SG: R3m, No. 160
# - E above lowest polymorph: 0 meV per atom
# - Volume: 15.761 A^3/atom
data_TlTcIr2
_chemical_formula_sum 'Tl1 Tc1 Ir2'
_cell_length_a 2.830
_cell_length_b 2.830
_cell_length_c 9.232
_cell_angle_alpha 81.18
_cell_angle_beta 81.18
_cell_angle_gamma 60.00
_symmetry_space_group_name_H-M 'P 1'
_symmetry_Int_Tables_number 1
loop_
_symmetry_equiv_pos_as_xyz
'x,y,z'
loop_
_atom_site_label
_atom_site_type_symbol
_atom_site_fract_x
_atom_site_fract_y
_atom_site_fract_z
Ir1 Ir 0.752 0.752 0.744
Ir2 Ir 0.004 0.004 0.987
Tl1 Tl 0.250 0.250 0.250
Tc1 Tc 0.494 0.494 0.519



Record 6
# TlTcIr3 PBEsol optimized geometry
# - SG: Pm-3m, No. 221
# - Volume: 20.558 A^3/atom
data_TlTcIr3
_chemical_formula_sum 'Tl1 Tc1 Ir3'
_cell_length_a 4.684
_cell_length_b 4.684
_cell_length_c 4.684
_cell_angle_alpha 90.00
_cell_angle_beta 90.00
_cell_angle_gamma 90.00
_symmetry_space_group_name_H-M 'P 1'
_symmetry_Int_Tables_number 1
loop_
_symmetry_equiv_pos_as_xyz
'x,y,z'
loop_
_atom_site_label
_atom_site_type_symbol
_atom_site_fract_x
_atom_site_fract_y
_atom_site_fract_z
Ir1 Ir 0.500 0.000 0.000
Ir2 Ir 0.000 0.500 0.000
Ir3 Ir 0.000 0.000 0.500
Tl1 Tl 0.500 0.500 0.500
Tc1 Tc 0.000 0.000 0.000



Record 7
# Tl2TcIr PBEsol optimized geometry
# - SG: Cmmm, No. 65
# - E above lowest polymorph: 9 meV per atom
# - Volume: 18.108 A^3/atom
data_Tl2TcIr
_chemical_formula_sum 'Tl2 Tc1 Ir1'
_cell_length_a 3.003
_cell_length_b 3.003
_cell_length_c 9.123
_cell_angle_alpha 90.00
_cell_angle_beta 90.00
_cell_angle_gamma 118.27
_symmetry_space_group_name_H-M 'P 1'
_symmetry_Int_Tables_number 1
loop_
_symmetry_equiv_pos_as_xyz
'x,y,z'
loop_
_atom_site_label
_atom_site_type_symbol
_atom_site_fract_x
_atom_site_fract_y
_atom_site_fract_z
Ir1 Ir 0.500 0.500 0.500
Tl1 Tl 0.000 0.000 0.749
Tl2 Tl 0.000 0.000 0.251
Tc1 Tc 0.500 0.500 0.000



Record 8
# TcIr2W PBEsol optimized geometry
# - SG: I4/mmm, No. 139
# - E above lowest polymorph: 61 meV per atom
# - Volume: 14.326 A^3/atom
data_TcIr2W
_chemical_formula_sum 'Tc1 Ir2 W1'
_cell_length_a 3.841
_cell_length_b 3.841
_cell_length_c 4.740
_cell_angle_alpha 113.90
_cell_angle_beta 113.90
_cell_angle_gamma 90.00
_symmetry_space_group_name_H-M 'P 1'
_symmetry_Int_Tables_number 1
loop_
_symmetry_equiv_pos_as_xyz
'x,y,z'
loop_
_atom_site_label
_atom_site_type_symbol
_atom_site_fract_x
_atom_site_fract_y
_atom_site_fract_z
W1 W 0.000 0.000 0.000
Ir1 Ir 0.750 0.250 0.500
Ir2 Ir 0.250 0.750 0.500
Tc1 Tc 0.500 0.500 0.000



Record 9
# TcIr2W PBEsol optimized geometry
# - SG: Pmm2, No. 25
# - E above lowest polymorph: 0 meV per atom
# - Volume: 14.300 A^3/atom
data_TcIr2W
_chemical_formula_sum 'Tc1 Ir2 W1'
_cell_length_a 2.732
_cell_length_b 4.382
_cell_length_c 4.779
_cell_angle_alpha 90.00
_cell_angle_beta 90.00
_cell_angle_gamma 90.00
_symmetry_space_group_name_H-M 'P 1'
_symmetry_Int_Tables_number 1
loop_
_symmetry_equiv_pos_as_xyz
'x,y,z'
loop_
_atom_site_label
_atom_site_type_symbol
_atom_site_fract_x
_atom_site_fract_y
_atom_site_fract_z
Ir1 Ir 0.000 0.500 0.700
Ir2 Ir 0.000 0.000 0.042
W1 W 0.500 0.500 0.211
Tc1 Tc 0.500 0.000 0.546



Record 10
# TcIr2W PBEsol optimized geometry
# - SG: Cmmm, No. 65
# - E above lowest polymorph: 93 meV per atom
# - Volume: 14.340 A^3/atom
data_TcIr2W
_chemical_formula_sum 'Tc1 Ir2 W1'
_cell_length_a 2.722
_cell_length_b 4.736
_cell_length_c 4.736
_cell_angle_alpha 110.08
_cell_angle_beta 90.00
_cell_angle_gamma 90.00
_symmetry_space_group_name_H-M 'P 1'
_symmetry_Int_Tables_number 1
loop_
_symmetry_equiv_pos_as_xyz
'x,y,z'
loop_
_atom_site_label
_atom_site_type_symbol
_atom_site_fract_x
_atom_site_fract_y
_atom_site_fract_z
W1 W 0.500 0.500 0.500
Tc1 Tc 0.500 0.000 0.000
Ir1 Ir 0.000 0.000 0.500
Ir2 Ir 0.000 0.500 0.000



Record 11
# TcIr2W PBEsol optimized geometry
# - SG: F-43m, No. 216
# - E above lowest polymorph: 593 meV per atom
# - Volume: 14.664 A^3/atom
data_TcIr2W
_chemical_formula_sum 'Tc1 Ir2 W1'
_cell_length_a 4.361
_cell_length_b 4.361
_cell_length_c 4.361
_cell_angle_alpha 60.00
_cell_angle_beta 60.00
_cell_angle_gamma 60.00
_symmetry_space_group_name_H-M 'P 1'
_symmetry_Int_Tables_number 1
loop_
_symmetry_equiv_pos_as_xyz
'x,y,z'
loop_
_atom_site_label
_atom_site_type_symbol
_atom_site_fract_x
_atom_site_fract_y
_atom_site_fract_z
Ir1 Ir 0.750 0.750 0.750
Ir2 Ir 0.000 0.000 0.000
Tc1 Tc 0.500 0.500 0.500
W1 W 0.250 0.250 0.250



Record 12
# TcIr2W PBEsol optimized geometry
# - SG: Pmmm, No. 47
# - E above lowest polymorph: 98 meV per atom
# - Volume: 14.340 A^3/atom
data_TcIr2W
_chemical_formula_sum 'Tc1 Ir2 W1'
_cell_length_a 2.720
_cell_length_b 3.873
_cell_length_c 5.445
_cell_angle_alpha 90.00
_cell_angle_beta 90.00
_cell_angle_gamma 90.00
_symmetry_space_group_name_H-M 'P 1'
_symmetry_Int_Tables_number 1
loop_
_symmetry_equiv_pos_as_xyz
'x,y,z'
loop_
_atom_site_label
_atom_site_type_symbol
_atom_site_fract_x
_atom_site_fract_y
_atom_site_fract_z
W1 W 0.500 0.500 0.500
Ir1 Ir 0.000 0.000 0.245
Ir2 Ir 0.000 0.000 0.755
Tc1 Tc 0.500 0.500 0.000



For reference, formation enthalpy at 0 K by record: 0.701; 0.693; 0.591; 0.781; 0.434; 1.631; 0.790; -0.284; -0.345; -0.252; 0.248; -0.247 eV per atom.
For reference, uncorrected energy by record: -32.18; -32.21; -32.62; -23.23; -31.81; -35.21; -23.19; -45.86; -46.10; -45.73; -43.73; -45.71 eV per cell.